PuNpTaOs: relaxed, PBE.

Calculated values
total magnetization	1.77	μB per atom

abc: 6.676 6.676 6.676
angles: 90.00 90.00 90.00
Element x y z (fractional)
Pu  0.000  0.000  0.000
Pu  0.000  0.500  0.500
Pu  0.500  0.000  0.500
Pu  0.500  0.500  0.000
Np  0.250  0.250  0.750
Np  0.250  0.750  0.250
Np  0.750  0.250  0.250
Np  0.750  0.750  0.750
Ta  0.000  0.000  0.500
Ta  0.000  0.500  0.000
Ta  0.500  0.000  0.000
Ta  0.500  0.500  0.500
Os  0.250  0.250  0.250
Os  0.250  0.750  0.750
Os  0.750  0.250  0.750
Os  0.750  0.750  0.250

=====

PuNpUOs: relaxed, PBE.

Calculated values
total magnetization	0.51	μB per atom

abc: 6.678 6.678 6.678
angles: 90.00 90.00 90.00
Element x y z (fractional)
Pu  0.000  0.000  0.000
Pu  0.000  0.500  0.500
Pu  0.500  0.000  0.500
Pu  0.500  0.500  0.000
Np  0.250  0.250  0.750
Np  0.250  0.750  0.250
Np  0.750  0.250  0.250
Np  0.750  0.750  0.750
U  0.000  0.000  0.500
U  0.000  0.500  0.000
U  0.500  0.000  0.000
U  0.500  0.500  0.500
Os  0.250  0.250  0.250
Os  0.250  0.750  0.750
Os  0.750  0.250  0.750
Os  0.750  0.750  0.250

=====

PuNpVOs: relaxed, PBE.

Calculated values
total magnetization	1.34	μB per atom

abc: 6.459 6.459 6.459
angles: 90.00 90.00 90.00
Element x y z (fractional)
Pu  0.000  0.000  0.000
Pu  0.000  0.500  0.500
Pu  0.500  0.000  0.500
Pu  0.500  0.500  0.000
Np  0.250  0.250  0.250
Np  0.250  0.750  0.750
Np  0.750  0.250  0.750
Np  0.750  0.750  0.250
V  0.000  0.000  0.500
V  0.000  0.500  0.000
V  0.500  0.000  0.000
V  0.500  0.500  0.500
Os  0.250  0.250  0.750
Os  0.250  0.750  0.250
Os  0.750  0.250  0.250
Os  0.750  0.750  0.750

=====

| no. | formation energy (eV/atom) |
| --- | --- |
| 1 | 0.1968 |
| 2 | 0.0439 |
| 3 | 0.1518 |